(1)
A relaxed structure of SrTaSb4. Source: Alexandria, functional GGA-PBEsol.

extended XYZ file:
```
6
Lattice="0.0000 4.3492 4.3492 4.3492 0.0000 4.3492 4.3492 4.3492 0.0000" Properties=species:S:1:pos:R:3 pbc="T T T"
Sr 0.0000 0.0000 0.0000
Ta 6.5239 6.5239 6.5239
Sb 3.2713 3.2713 3.2713
Sb 5.4271 5.4271 3.2713
Sb 5.4271 3.2713 5.4271
Sb 3.2713 5.4271 5.4271
```

Properties
- D(E_F): 0.914 states/eV/atom
- Raw total energy: -4.941 eV per atom
- Symmetry: F-43m

(2)
A relaxed structure of SrTa2Sb. Source: Alexandria, functional GGA-PBEsol.

extended XYZ file:
```
4
Lattice="4.4858 -1.6386 0.0000 4.4858 1.6386 0.0000 -0.9539 0.0000 6.7787" Properties=species:S:1:pos:R:3 pbc="T T T"
Sr 0.0000 0.0000 0.0000
Ta 1.3555 0.0000 4.5067
Ta 3.9092 0.0000 3.5032
Sb 6.4593 0.0000 2.1643
```

Properties
- D(E_F): 1.058 states/eV/atom
- Raw total energy: -7.556 eV per atom
- Symmetry: Cm

(3)
A relaxed structure of SrTaSb2. Source: Alexandria, functional GGA-PBEsol.

extended XYZ file:
```
4
Lattice="5.0836 0.0000 0.0000 0.0000 5.0836 0.0000 0.0000 0.0000 3.7341" Properties=species:S:1:pos:R:3 pbc="T T T"
Sr 0.0000 0.0000 0.0000
Ta 2.5418 2.5418 0.0000
Sb 0.0000 2.5418 1.8670
Sb 2.5418 0.0000 1.8670
```

Properties
- D(E_F): 1.188 states/eV/atom
- E above lowest polymorph: 36.9 meV per atom
- Raw total energy: -5.723 eV per atom
- Symmetry: P4/mmm

(4)
A relaxed structure of SrTaSb3. Source: Alexandria, functional GGA-PBEsol.

extended XYZ file:
```
5
Lattice="5.3665 0.0000 0.0000 0.0000 5.3665 0.0000 0.0000 0.0000 5.3665" Properties=species:S:1:pos:R:3 pbc="T T T"
Sr 0.0000 0.0000 0.0000
Ta 2.6832 2.6832 2.6832
Sb 0.0000 2.6832 2.6832
Sb 2.6832 0.0000 2.6832
Sb 2.6832 2.6832 0.0000
```

Properties
- D(E_F): 0.809 states/eV/atom
- Raw total energy: -5.711 eV per atom
- Symmetry: Pm-3m

(5)
A relaxed structure of SrTaSb2. Source: Alexandria, functional GGA-PBEsol.

extended XYZ file:
```
4
Lattice="3.2951 -3.9144 0.0000 3.2951 3.9144 0.0000 0.0000 0.0000 3.7272" Properties=species:S:1:pos:R:3 pbc="T T T"
Sr 0.0000 0.0000 0.0000
Ta 3.2951 0.0000 0.0000
Sb 1.6475 1.9572 1.8636
Sb 1.6475 -1.9572 1.8636
```

Properties
- D(E_F): 0.803 states/eV/atom
- E above lowest polymorph: 0.0 meV per atom
- Raw total energy: -5.760 eV per atom
- Symmetry: Cmmm

(6)
A relaxed structure of SrTc2Sb. Source: Alexandria, functional GGA-PBEsol.

extended XYZ file:
```
4
Lattice="-2.2988 2.2988 3.6023 2.2988 -2.2988 3.6023 2.2988 2.2988 -3.6023" Properties=species:S:1:pos:R:3 pbc="T T T"
Sr 0.0000 0.0000 0.0000
Tc 2.2988 0.0000 1.8012
Tc 0.0000 0.0000 3.6023
Sb 0.0000 2.2988 1.8012
```

Properties
- D(E_F): 1.302 states/eV/atom
- Raw total energy: -6.546 eV per atom
- Symmetry: I-4m2

(7)
A relaxed structure of SrTcSb. Source: Alexandria, functional GGA-PBEsol.

extended XYZ file:
```
3
Lattice="0.0000 3.3919 3.3919 3.3919 0.0000 3.3919 3.3919 3.3919 0.0000" Properties=species:S:1:pos:R:3 pbc="T T T"
Sr 0.0000 0.0000 0.0000
Tc 3.3919 3.3919 3.3919
Sb 1.6959 1.6959 1.6959
```

Properties
- D(E_F): 0.866 states/eV/atom
- Raw total energy: -5.344 eV per atom
- Symmetry: F-43m

(8)
A relaxed structure of SrTc2Sb. Source: Alexandria, functional GGA-PBEsol.

extended XYZ file:
```
4
Lattice="3.1308 0.0000 0.0000 0.0000 3.1308 0.0000 0.0000 0.0000 8.2535" Properties=species:S:1:pos:R:3 pbc="T T T"
Sr 0.0000 0.0000 0.0000
Tc 0.0000 0.0000 4.5900
Tc 1.5654 1.5654 5.9493
Sb 1.5654 1.5654 2.7906
```

Properties
- D(E_F): 1.092 states/eV/atom
- Raw total energy: -7.064 eV per atom
- Symmetry: P4mm

(9)
A relaxed structure of SrSb2Te. Source: Alexandria, functional GGA-PBEsol.

extended XYZ file:
```
4
Lattice="-2.0802 2.7517 5.1142 2.0802 -2.7517 5.1142 2.0802 2.7517 -5.1142" Properties=species:S:1:pos:R:3 pbc="T T T"
Sr 0.0000 0.0000 0.0000
Sb 2.0802 0.0000 2.7985
Sb 0.0000 0.0000 4.9038
Te 0.0000 2.7517 2.2204
```

Properties
- D(E_F): 0.563 states/eV/atom
- Raw total energy: -4.179 eV per atom
- Symmetry: Imm2

(10)
A relaxed structure of SrSbTe2. Source: Alexandria, functional GGA-PBEsol.

extended XYZ file:
```
4
Lattice="-2.1819 2.8374 4.9309 2.1819 -2.8374 4.9309 2.1819 2.8374 -4.9309" Properties=species:S:1:pos:R:3 pbc="T T T"
Sr 0.0000 0.0000 0.0000
Sb 0.0000 0.0000 4.9309
Te 2.1819 0.0000 2.8687
Te 0.0000 2.8374 2.0622
```

Properties
- D(E_F): 0.566 states/eV/atom
- Raw total energy: -4.045 eV per atom
- Symmetry: Immm

(11)
A relaxed structure of SrSb2Te. Source: Alexandria, functional GGA-PBEsol.

extended XYZ file:
```
4
Lattice="4.6907 0.0000 0.0000 0.0000 4.4234 0.0000 -0.7345 0.0000 6.5222" Properties=species:S:1:pos:R:3 pbc="T T T"
Sr 0.0000 0.0000 0.0000
Sb 1.1628 2.2117 3.6090
Sb 3.9479 0.0000 3.2477
Te 2.3130 2.2117 0.0039
```

Properties
- D(E_F): 0.065 states/eV/atom
- Raw total energy: -4.296 eV per atom
- Symmetry: Pm

(12)
A relaxed structure of SrSb2Te. Source: Alexandria, functional GGA-PBEsol.

extended XYZ file:
```
4
Lattice="0.0000 3.8946 3.8946 3.8946 0.0000 3.8946 3.8946 3.8946 0.0000" Properties=species:S:1:pos:R:3 pbc="T T T"
Sr 0.0000 0.0000 0.0000
Sb 1.9473 1.9473 1.9473
Sb 3.8946 3.8946 3.8946
Te 5.8419 5.8419 5.8419
```

Properties
- D(E_F): 0.408 states/eV/atom
- Raw total energy: -4.024 eV per atom
- Symmetry: F-43m

(13)
A relaxed structure of SrTi3Sb. Source: Alexandria, functional GGA-PBEsol.

extended XYZ file:
```
5
Lattice="4.7013 0.0000 0.0000 0.0000 4.7013 0.0000 0.0000 0.0000 4.7013" Properties=species:S:1:pos:R:3 pbc="T T T"
Sr 0.0000 0.0000 0.0000
Ti 0.0000 0.0000 2.3507
Ti 0.0000 2.3507 0.0000
Ti 2.3507 0.0000 0.0000
Sb 2.3507 2.3507 2.3507
```

Properties
- D(E_F): 1.716 states/eV/atom
- Raw total energy: -4.646 eV per atom
- Symmetry: Pm-3m

(14)
A relaxed structure of SrTlSb2. Source: Alexandria, functional GGA-PBEsol.

extended XYZ file:
```
4
Lattice="4.2626 0.0000 0.0000 0.0000 4.3746 0.0000 0.0000 0.0000 6.5725" Properties=species:S:1:pos:R:3 pbc="T T T"
Sr 0.0000 0.0000 0.0000
Tl 0.0000 0.0000 3.2863
Sb 2.1313 2.1873 1.4642
Sb 2.1313 2.1873 5.1083
```

Properties
- D(E_F): 0.387 states/eV/atom
- E above lowest polymorph: 62.3 meV per atom
- Raw total energy: -3.832 eV per atom
- Symmetry: Pmmm

(15)
A relaxed structure of SrTlSb2. Source: Alexandria, functional GGA-PBEsol.

extended XYZ file:
```
4
Lattice="-2.3999 2.3999 4.9587 2.3999 -2.3999 4.9587 2.3999 2.3999 -4.9587" Properties=species:S:1:pos:R:3 pbc="T T T"
Sr 0.0000 0.0000 0.0000
Tl 0.0000 0.0000 4.9587
Sb 2.3999 0.0000 2.4794
Sb 0.0000 2.3999 2.4794
```

Properties
- D(E_F): 0.424 states/eV/atom
- E above lowest polymorph: 13.7 meV per atom
- Raw total energy: -3.881 eV per atom
- Symmetry: I4/mmm

(16)
A relaxed structure of SrTlSb. Source: Alexandria, functional GGA-PBEsol.

extended XYZ file:
```
3
Lattice="4.7266 0.0000 0.0000 -2.3633 4.0934 0.0000 0.0000 0.0000 5.0475" Properties=species:S:1:pos:R:3 pbc="T T T"
Sr 0.0000 0.0000 0.0000
Tl 0.0000 2.7289 3.1722
Sb 2.3633 1.3645 1.8369
```

Properties
- Raw total energy: -3.599 eV per atom
- Symmetry: P3m1

(17)
A relaxed structure of SrTlSb2. Source: Alexandria, functional GGA-PBEsol.

extended XYZ file:
```
4
Lattice="4.8248 0.0000 0.0000 0.0000 4.8248 0.0000 0.0000 0.0000 4.8925" Properties=species:S:1:pos:R:3 pbc="T T T"
Sr 0.0000 0.0000 0.0000
Tl 2.4124 2.4124 0.0000
Sb 0.0000 2.4124 2.4463
Sb 2.4124 0.0000 2.4463
```

Properties
- D(E_F): 0.369 states/eV/atom
- E above lowest polymorph: 0.0 meV per atom
- Raw total energy: -3.895 eV per atom
- Symmetry: P4/mmm

(18)
A relaxed structure of SrTlSb2. Source: Alexandria, functional GGA-PBEsol.

extended XYZ file:
```
4
Lattice="-2.0125 2.6725 5.4813 2.0125 -2.6725 5.4813 2.0125 2.6725 -5.4813" Properties=species:S:1:pos:R:3 pbc="T T T"
Sr 0.0000 0.0000 0.0000
Tl 2.0125 0.0000 2.9505
Sb 0.0000 0.0000 5.6781
Sb 0.0000 2.6725 2.4531
```

Properties
- D(E_F): 0.555 states/eV/atom
- E above lowest polymorph: 61.7 meV per atom
- Raw total energy: -3.833 eV per atom
- Symmetry: Imm2

(19)
A relaxed structure of SrSb2W. Source: Alexandria, functional GGA-PBEsol.

extended XYZ file:
```
8
Lattice="-3.9822 3.9822 3.4874 3.9822 -3.9822 3.4874 3.9822 3.9822 -3.4874" Properties=species:S:1:pos:R:3 pbc="T T T"
Sr 0.0000 0.0000 0.0000
Sr 0.0000 3.9822 1.7437
Sb 1.9911 2.4587 -0.8719
Sb 5.5056 1.9911 0.8719
Sb 1.9911 1.5235 2.6156
Sb -1.5235 1.9911 4.3593
W 3.9822 0.0000 1.7437
W 0.0000 0.0000 3.4874
```

Properties
- D(E_F): 0.814 states/eV/atom
- Raw total energy: -5.906 eV per atom
- Symmetry: I-42d

(20)
A relaxed structure of SrZn2Sb2. Source: Alexandria, functional GGA-PBEsol.

extended XYZ file:
```
5
Lattice="4.4809 0.0000 0.0000 -2.2405 3.8806 0.0000 0.0000 0.0000 7.6012" Properties=species:S:1:pos:R:3 pbc="T T T"
Sr 0.0000 0.0000 0.0000
Zn 0.0000 2.5871 4.8250
Zn 2.2405 1.2935 2.7762
Sb 0.0000 2.5871 2.0527
Sb 2.2405 1.2935 5.5486
```

Properties
- D(E_F): 0.031 states/eV/atom
- Raw total energy: -3.291 eV per atom
- Symmetry: P-3m1

(21)
A relaxed structure of Sr2ZnSb2. Source: Alexandria, functional GGA-PBEsol.

extended XYZ file:
```
5
Lattice="4.5967 0.0000 0.0000 -2.2983 3.9808 0.0000 0.0000 0.0000 8.5589" Properties=species:S:1:pos:R:3 pbc="T T T"
Sr 0.0000 0.0000 1.8622
Sr 0.0000 0.0000 6.6967
Zn 2.2983 1.3269 4.2795
Sb 0.0000 2.6539 4.2795
Sb 2.2983 1.3269 0.0000
```

Properties
- D(E_F): 0.464 states/eV/atom
- Raw total energy: -3.578 eV per atom
- Symmetry: P-6m2

(22)
A relaxed structure of SrZnSb2. Source: Alexandria, functional GGA-PBEsol.

extended XYZ file:
```
16
Lattice="22.3576 0.0000 0.0000 0.0000 4.3652 0.0000 0.0000 0.0000 4.3930" Properties=species:S:1:pos:R:3 pbc="T T T"
Sr 2.6310 1.0913 1.0208
Sr 8.5478 3.2739 3.2174
Sr 13.8098 1.0913 1.1757
Sr 19.7266 3.2739 3.3722
Zn 5.5903 1.0913 3.2125
Zn 5.5885 3.2739 1.0160
Zn 16.7691 1.0913 3.3771
Zn 16.7673 3.2739 1.1805
Sb 0.0210 1.0913 3.1858
Sb 3.9245 3.2739 3.2137
Sb 7.2543 1.0913 1.0172
Sb 11.1578 3.2739 0.9892
Sb 11.1998 1.0913 3.4038
Sb 15.1033 3.2739 3.3759
Sb 18.4331 1.0913 1.1794
Sb 22.3366 3.2739 1.2073
```

Properties
- D(E_F): 0.089 states/eV/atom
- Raw total energy: -3.712 eV per atom
- Symmetry: Pnma

(23)
A relaxed structure of Sr2ZrSb. Source: Alexandria, functional GGA-PBEsol.

extended XYZ file:
```
4
Lattice="-2.0181 2.7776 5.8066 2.0181 -2.7776 5.8066 2.0181 2.7776 -5.8066" Properties=species:S:1:pos:R:3 pbc="T T T"
Sr 0.0000 0.0000 0.0000
Sr 0.0000 2.7776 2.3483
Zr 2.0181 0.0000 3.3766
Sb 0.0000 0.0000 5.3897
```

Properties
- D(E_F): 1.350 states/eV/atom
- Raw total energy: -4.506 eV per atom
- Symmetry: Imm2

(24)
A relaxed structure of SrZrSb2. Source: Alexandria, functional GGA-PBEsol.

extended XYZ file:
```
4
Lattice="3.4200 0.0000 0.0000 0.0000 5.4400 0.0000 -1.5201 0.0000 5.8146" Properties=species:S:1:pos:R:3 pbc="T T T"
Sr 0.0000 0.0000 0.0000
Zr 2.3419 2.7200 2.7013
Sb 0.2094 2.7200 5.3885
Sb 1.3651 0.0000 2.7400
```

Properties
- D(E_F): 0.537 states/eV/atom
- E above lowest polymorph: 300.0 meV per atom
- Raw total energy: -5.541 eV per atom
- Symmetry: Pm

(25)
A relaxed structure of Sr2Zr2Sb. Source: Alexandria, functional GGA-PBEsol.

extended XYZ file:
```
5
Lattice="-1.9483 1.9483 10.7316 1.9483 -1.9483 10.7316 1.9483 1.9483 -10.7316" Properties=species:S:1:pos:R:3 pbc="T T T"
Sr 0.0000 0.0000 2.0446
Sr 0.0000 0.0000 19.4187
Zr 1.9483 0.0000 5.3658
Zr 0.0000 1.9483 5.3658
Sb 0.0000 0.0000 10.7316
```

Properties
- D(E_F): 0.880 states/eV/atom
- Raw total energy: -5.241 eV per atom
- Symmetry: I4/mmm

(26)
A relaxed structure of Sr2ZrSb. Source: Alexandria, functional GGA-PBEsol.

extended XYZ file:
```
4
Lattice="-2.2937 2.2937 5.4592 2.2937 -2.2937 5.4592 2.2937 2.2937 -5.4592" Properties=species:S:1:pos:R:3 pbc="T T T"
Sr 2.2937 0.0000 2.7296
Sr 0.0000 2.2937 2.7296
Zr 0.0000 0.0000 0.0000
Sb 0.0000 0.0000 5.4592
```

Properties
- D(E_F): 1.190 states/eV/atom
- Raw total energy: -4.370 eV per atom
- Symmetry: I4/mmm

(27)
A relaxed structure of SrZr3Sb. Source: Alexandria, functional GGA-PBEsol.

extended XYZ file:
```
5
Lattice="5.0532 0.0000 0.0000 0.0000 5.0532 0.0000 0.0000 0.0000 5.0532" Properties=species:S:1:pos:R:3 pbc="T T T"
Sr 0.0000 0.0000 0.0000
Zr 0.0000 0.0000 2.5266
Zr 0.0000 2.5266 0.0000
Zr 2.5266 0.0000 0.0000
Sb 2.5266 2.5266 2.5266
```

Properties
- D(E_F): 1.740 states/eV/atom
- Raw total energy: -5.145 eV per atom
- Symmetry: Pm-3m

(28)
A relaxed structure of SrZrSb2. Source: Alexandria, functional GGA-PBEsol.

extended XYZ file:
```
4
Lattice="5.6131 0.0000 0.0000 0.0000 5.6131 0.0000 0.0000 0.0000 3.2712" Properties=species:S:1:pos:R:3 pbc="T T T"
Sr 0.0000 0.0000 0.0000
Zr 2.8066 2.8066 0.0000
Sb 0.0000 2.8066 1.6356
Sb 2.8066 0.0000 1.6356
```

Properties
- D(E_F): 0.810 states/eV/atom
- E above lowest polymorph: 343.9 meV per atom
- Raw total energy: -5.497 eV per atom
- Symmetry: P4/mmm

(29)
A relaxed structure of Sr2ZrSb. Source: Alexandria, functional GGA-PBEsol.

extended XYZ file:
```
4
Lattice="6.0047 0.0000 0.0000 0.0000 3.4990 0.0000 -2.0794 0.0000 5.6774" Properties=species:S:1:pos:R:3 pbc="T T T"
Sr 0.0000 0.0000 0.0000
Sr -1.0397 1.7495 2.8387
Zr 1.9626 0.0000 2.8387
Sb 3.0023 1.7495 0.0000
```

Properties
- D(E_F): 1.132 states/eV/atom
- Raw total energy: -4.200 eV per atom
- Symmetry: P2/m

Taking the records one at a time from the top gives uncorrected formation energy values of 0.496, 0.319, 0.154, -0.098, 0.117, 0.687, 0.544, 0.169, -0.559, -0.682, -0.676, -0.403, 1.626, -0.436, -0.485, -0.590, -0.498, -0.437, 0.285, -0.467, -0.703, -0.578, -0.174, -0.530, 0.043, -0.038, 1.588, -0.486, 0.132 eV/atom.